The following is a DFT calculation (PBE) of an optimized crystal structure of PmNiAgGe.

Geometry as CIF:
```
data_PmNiAgGe
_cell_length_a 6.694
_cell_length_b 6.694
_cell_length_c 6.694
_cell_angle_alpha 90.00
_cell_angle_beta 90.00
_cell_angle_gamma 90.00
_space_group_name_H-M_alt 'F -4 3 m'
_space_group_IT_number 216
_space_group_name_Hall 'F -4 2 3'
loop_
_atom_site_label
_atom_site_type_symbol
_atom_site_fract_x
_atom_site_fract_y
_atom_site_fract_z
Pm1 Pm 0.000 0.000 0.000
Ni1 Ni 0.250 0.250 0.750
Ag1 Ag 0.250 0.250 0.250
Ge1 Ge 0.000 0.000 0.500
```

Calculated values
- magnetic moment (μB/cell) = 0.00
- final energy (eV per atom) = -4.7236
- ΔH_f (0 K) (meV per atom) = -223
- calculated volume (Å³ per atom) = 18.746